# 1
The following is a DFT calculation (GGA-PBE) of an optimized crystal structure of ErPuTh14.

Space-group type: No. 38
VASP energy (Ry/atom): -0.5609
M_tot (Bohr magnetons per cell): 5.7

extended XYZ file:
```
16
Lattice="11.5324 0.0000 0.0000 0.0000 3.5814 6.1682 0.0000 -3.5814 6.1682" Properties=species:S:1:pos:R:3 pbc="T T T"
Er 0.0000 0.0000 0.0000
Pu 0.0000 0.0000 6.1680
Th 0.0000 -1.7883 3.1230
Th 0.0000 1.7883 3.1230
Th 2.8520 -1.7866 7.1856
Th 2.8520 1.7866 7.1856
Th 2.8688 0.0000 4.1140
Th 2.8881 0.0000 10.2824
Th 5.7662 0.0000 2.0440
Th 5.7662 -1.7886 5.1304
Th 5.7662 1.7886 5.1304
Th 5.7662 0.0000 8.2118
Th 8.6442 0.0000 10.2824
Th 8.6635 0.0000 4.1140
Th 8.6804 -1.7866 7.1856
Th 8.6804 1.7866 7.1856
```

# 2
The following is a DFT calculation (GGA-PBE) of an optimized crystal structure of Er12PuTh5.

Space-group type: No. 65
VASP energy (Ry/atom): -0.4221
M_tot (Bohr magnetons per cell): 0.1

extended XYZ file:
```
18
Lattice="2.4826 -7.4346 0.0000 2.4826 7.4346 0.0000 0.0000 0.0000 14.9502" Properties=species:S:1:pos:R:3 pbc="T T T"
Er 0.0000 0.0000 2.4253
Er 0.0000 0.0000 12.5248
Er 2.4826 4.9534 5.0065
Er 2.4826 4.9534 9.9437
Er 2.4826 2.4618 2.3704
Er 2.4826 2.4618 12.5797
Er 2.4826 0.0000 5.0155
Er 2.4826 0.0000 9.9346
Er 2.4826 -2.4618 2.3704
Er 2.4826 -2.4618 12.5797
Er 2.4826 -4.9534 5.0065
Er 2.4826 -4.9534 9.9437
Pu 2.4826 0.0000 0.0000
Th 0.0000 0.0000 7.4751
Th 2.4826 5.0544 0.0000
Th 2.4826 2.4826 7.4751
Th 2.4826 -2.4826 7.4751
Th 2.4826 -5.0544 0.0000
```

- Look up the M_tot of the second one.
  0.1 Bohr magnetons per cell

- Which of these has the lowest M_tot?
  Er12PuTh5

- What is the VASP energy in the first record?
  -0.5609 Ry/atom